(1)
DFT (PBE-GGA) results for GaTe2HN after structural relaxation.

## Properties
As for the total energy: -16.425 eV for the cell shown. For the density of states at the Fermi level, the calculation gives 4.6 states/eV per cell. The value obtained for the magnetic moment is 0.00 μB per cell. The volume comes out at 86.72 Å³/cell.

a = 5.4389 Å, b = 5.4389 Å, c = 2.9317 Å
α = 90.00°, β = 90.00°, γ = 90.00°
Last column: nearest neighbours and their distance in Å.
Space group P4/mmm (No. 123)
Inequivalent atoms, fractional coordinates:
Ga 0.0000 0.0000 0.0000 x1  2 Ga 2.93, 8 Te 3.09
Te 0.0000 0.5000 0.5000 x2  2 H 2.72, 2 Te 2.93
H 0.5000 0.5000 0.5000 x1  2 N 1.47
N 0.5000 0.5000 0.0000 x1  2 H 1.47

(2)
DFT (PBE-GGA) results for GaTe2HN after structural relaxation.

## Properties
As for the total energy: -15.443 eV for the cell shown. For the density of states at the Fermi level, the calculation gives 4.5 states/eV per cell. The value obtained for the magnetic moment is 0.55 μB per cell. The volume comes out at 119.19 Å³/cell.

a = 5.8727 Å, b = 5.8727 Å, c = 3.4560 Å
α = 90.00°, β = 90.00°, γ = 90.00°
Last column: nearest neighbours and their distance in Å.
Space group P4/mmm (No. 123)
Inequivalent atoms, fractional coordinates:
Ga 0.0000 0.0000 0.0000 x1  2 N 1.73
Te 0.0000 0.5000 0.0000 x2  2 Ga 2.94
H 0.5000 0.5000 0.5000 x1  8 Te 3.41, 2 H 3.46
N 0.0000 0.0000 0.5000 x1  2 Ga 1.73

> What is the formula in the first record?

GaTe2HN

What did the second record say?
DFT (PBE-GGA) results for GaTe2HN after structural relaxation.

## Properties
As for the total energy: -15.443 eV for the cell shown. For the density of states at the Fermi level, the calculation gives 4.5 states/eV per cell. The value obtained for the magnetic moment is 0.55 μB per cell. The volume comes out at 119.19 Å³/cell.

a = 5.8727 Å, b = 5.8727 Å, c = 3.4560 Å
α = 90.00°, β = 90.00°, γ = 90.00°
Last column: nearest neighbours and their distance in Å.
Space group P4/mmm (No. 123)
Inequivalent atoms, fractional coordinates:
Ga 0.0000 0.0000 0.0000 x1  2 N 1.73
Te 0.0000 0.5000 0.0000 x2  2 Ga 2.94
H 0.5000 0.5000 0.5000 x1  8 Te 3.41, 2 H 3.46
N 0.0000 0.0000 0.5000 x1  2 Ga 1.73

> Which of these has the highest density of states at the Fermi level?

number 1

> Which value of magnetic moment does entry 2 give?

0.55 μB per cell